Entry 1:
# PBE TlSeClO4, optimized geometry
# Formation energy from raw total energies   -0.5408 eV per atom
# Crystal system   monoclinic
data_TlSeClO4
_space_group_name_H-M_alt 'P 1'
_space_group_IT_number 1
_space_group_name_Hall 'P 1'
_cell_length_a 5.978
_cell_length_b 5.978
_cell_length_c 7.993
_cell_angle_alpha 84.89
_cell_angle_beta 84.89
_cell_angle_gamma 82.14
loop_
_atom_site_label
_atom_site_type_symbol
_atom_site_fract_x
_atom_site_fract_y
_atom_site_fract_z
O1 O 0.450 0.450 0.730
O2 O 0.264 0.264 0.420
Cl1 Cl 0.978 0.978 0.247
O3 O 0.492 0.165 0.107
Cl2 Cl 0.022 0.022 0.753
Se1 Se 0.632 0.632 0.760
Se2 Se 0.368 0.368 0.240
Tl1 Tl 0.234 0.234 0.904
O4 O 0.736 0.736 0.580
O5 O 0.835 0.508 0.893
O6 O 0.550 0.550 0.270
Tl2 Tl 0.766 0.766 0.096
O7 O 0.165 0.492 0.107
O8 O 0.508 0.835 0.893


Entry 2:
# PBE TlSeClO2, optimized geometry
# Energy relative to the lowest polymorph listed for this composition   684 meV per atom
# Formation energy from raw total energies   0.4227 eV per atom
# Crystal system   tetragonal
data_TlSeClO2
_space_group_name_H-M_alt 'P 1'
_space_group_IT_number 1
_space_group_name_Hall 'P 1'
_cell_length_a 4.170
_cell_length_b 5.982
_cell_length_c 4.170
_cell_angle_alpha 90.00
_cell_angle_beta 90.00
_cell_angle_gamma 90.00
loop_
_atom_site_label
_atom_site_type_symbol
_atom_site_fract_x
_atom_site_fract_y
_atom_site_fract_z
O1 O 0.000 0.000 0.500
Cl1 Cl 0.000 0.500 0.000
Se1 Se 0.500 0.500 0.500
O2 O 0.500 0.000 0.000
Tl1 Tl 0.000 0.000 0.000


no.,DOS at the Fermi energy (states/eV per atom)
1,0.000
2,0.823